The following is a SCAN calculation of BePdS2N at its PBEsol-relaxed geometry, from Alexandria.

- Electronic total energy: -12.57 eV per atom
- E_form (uncorrected): 563.1 meV/atom

a = 4.5551 Å, b = 4.5551 Å, c = 3.0405 Å
α = 90.00°, β = 90.00°, γ = 90.00°
Closest atoms and distances in Å follow each position.
Space group P4/mmm (No. 123)
Unique sites:
1 Be 0.0000 0.0000 0.0000 (multiplicity 1)  2 N 1.52
2 Pd 0.5000 0.5000 0.5000 (multiplicity 1)  8 S 2.74, 2 Pd 3.04
3 S 0.0000 0.5000 0.0000 (multiplicity 2)  2 Be 2.28
4 N 0.0000 0.0000 0.5000 (multiplicity 1)  2 Be 1.52